Ba4Hf3PbO12 (PBE-GGA, relaxed); formation energy from raw total energies = -2.944 eV per atom; volume = 303.7 Å³/cell; E_tot = -7.982 eV/atom; space group = Im-3m
1.0
-1.7956 6.0765 -3.6939
1.7314 -5.3214 -4.7411
-5.6906 -2.1380 4.1035
Ba O Pb Hf
4 12 1 3
direct
0.5000 0.0000 0.0000 Ba
0.0000 0.5000 0.0000 Ba
0.0000 0.0000 0.5000 Ba
0.5000 0.5000 0.5000 Ba
0.7500 0.5000 0.2500 O
0.2500 0.5000 0.7500 O
0.0000 0.2566 0.2566 O
0.7434 0.7434 0.0000 O
0.2500 0.7500 0.5000 O
0.5000 0.2500 0.7500 O
0.7500 0.2500 0.5000 O
0.2566 0.0000 0.2566 O
0.7434 0.0000 0.7434 O
0.0000 0.7434 0.7434 O
0.5000 0.7500 0.2500 O
0.2566 0.2566 0.0000 O
0.0000 0.0000 0.0000 Pb
0.0000 0.5000 0.5000 Hf
0.5000 0.0000 0.5000 Hf
0.5000 0.5000 0.0000 Hf

=====

Ba3HfPd2O9 (PBE-GGA, relaxed); formation energy from raw total energies = -1.963 eV per atom; volume = 210.9 Å³/cell; E_tot = -6.678 eV/atom; space group = P-3m1
1.0
5.8283 0.0000 0.0000
-2.9142 5.0475 0.0000
0.0000 0.0000 7.1694
O Hf Ba Pd
9 1 3 2
direct
0.3345 0.1672 0.6671 O
0.8328 0.1672 0.6671 O
0.5000 0.5000 0.0000 O
0.5000 0.0000 0.0000 O
0.6655 0.8328 0.3329 O
0.0000 0.5000 0.0000 O
0.8328 0.6655 0.6671 O
0.1672 0.3345 0.3329 O
0.1672 0.8328 0.3329 O
0.0000 0.0000 0.5000 Hf
0.6667 0.3333 0.3172 Ba
0.0000 0.0000 0.0000 Ba
0.3333 0.6667 0.6828 Ba
0.6667 0.3333 0.8290 Pd
0.3333 0.6667 0.1710 Pd

=====

BaHf4Pd3O12 (PBE-GGA, relaxed); formation energy from raw total energies = -2.448 eV per atom; volume = 251.4 Å³/cell; E_tot = -8.288 eV/atom; space group = Im-3
1.0
6.8865 0.0000 0.0000
-2.2955 6.4927 0.0000
-2.2955 -3.2463 5.6228
Hf O Pd Ba
4 12 3 1
direct
0.0000 0.0000 0.5000 Hf
0.0000 0.5000 0.0000 Hf
0.5000 0.5000 0.5000 Hf
0.5000 0.0000 0.0000 Hf
0.3031 0.1758 0.4789 O
0.1272 0.3031 0.8242 O
0.6969 0.1758 0.8728 O
0.4789 0.3031 0.1758 O
0.3031 0.8242 0.1272 O
0.1758 0.8728 0.6969 O
0.1758 0.4789 0.3031 O
0.8728 0.6969 0.1758 O
0.8242 0.5211 0.6969 O
0.6969 0.8242 0.5211 O
0.5211 0.6969 0.8242 O
0.8242 0.1272 0.3031 O
0.5000 0.0000 0.5000 Pd
0.5000 0.5000 0.0000 Pd
0.0000 0.5000 0.5000 Pd
0.0000 0.0000 0.0000 Ba

=====

Ba3HfPd2O6 (PBE-GGA, relaxed); formation energy from raw total energies = -1.994 eV per atom; volume = 213.2 Å³/cell; E_tot = -6.648 eV/atom; space group = P-3m1
1.0
5.9954 0.0000 0.0000
-2.9977 5.1921 0.0000
0.0000 0.0000 6.8503
O Pd Ba Hf
6 2 3 1
direct
0.8389 0.1611 0.6789 O
0.1611 0.3221 0.3211 O
0.1611 0.8389 0.3211 O
0.3221 0.1611 0.6789 O
0.8389 0.6779 0.6789 O
0.6779 0.8389 0.3211 O
0.3333 0.6667 0.1436 Pd
0.6667 0.3333 0.8564 Pd
0.3333 0.6667 0.6426 Ba
0.0000 0.0000 0.0000 Ba
0.6667 0.3333 0.3574 Ba
0.0000 0.0000 0.5000 Hf

=====

Ba2PmHfO6 (PBE-GGA, relaxed); formation energy from raw total energies = -2.973 eV per atom; volume = 169.1 Å³/cell; E_tot = -7.803 eV/atom; space group = Fm-3m
1.0
6.2065 -0.0004 -0.0001
0.0003 6.2065 0.0000
3.1033 3.1030 4.3903
O Ba Pm Hf
6 2 1 1
direct
0.7629 0.7629 0.4741 O
0.7629 0.2371 0.0000 O
0.2371 0.7629 0.0000 O
0.2371 0.2371 0.5259 O
0.2371 0.2371 0.0000 O
0.7629 0.7629 0.0000 O
0.7500 0.2500 0.5000 Ba
0.2500 0.7500 0.5000 Ba
0.5000 0.5000 0.0000 Pm
0.0000 0.0000 0.0000 Hf

=====

Ba3PrHf2O9 (PBE-GGA, relaxed); formation energy from raw total energies = -3.069 eV per atom; volume = 248.0 Å³/cell; E_tot = -8.075 eV/atom; space group = P-3m1
1.0
-4.2220 4.4460 -0.2118
-1.6066 -5.8122 -1.1292
-1.4592 -1.0334 7.3950
Hf O Ba Pr
2 9 3 1
direct
0.3333 0.6667 0.1587 Hf
0.6667 0.3333 0.8413 Hf
0.0000 0.5000 0.0000 O
0.1757 0.3515 0.3136 O
0.8243 0.1757 0.6864 O
0.3515 0.1757 0.6864 O
0.5000 0.0000 0.0000 O
0.8243 0.6485 0.6864 O
0.6485 0.8243 0.3136 O
0.5000 0.5000 0.0000 O
0.1757 0.8243 0.3136 O
0.0000 0.0000 0.0000 Ba
0.3333 0.6667 0.6775 Ba
0.6667 0.3333 0.3225 Ba
0.0000 0.0000 0.5000 Pr